First-principles (GGA-PBE) data for crystalline Ba3Bi2O9 at its relaxed geometry, as listed in Alexandria.

extended XYZ file:
```
14
Lattice="6.007 0.000 0.000 -3.003 5.202 0.000 0.000 0.000 7.814" Properties=species:S:1:pos:R:3 pbc="T T T"
Ba 0.000 0.000 0.000
Ba 0.000 3.468 2.826
Ba 3.003 1.734 4.988
Bi 0.000 3.468 6.532
Bi 3.003 1.734 1.282
O -1.502 2.601 0.000
O 0.000 1.778 5.302
O -1.464 4.313 5.302
O 1.540 0.889 2.513
O 3.003 0.000 0.000
O 1.502 2.601 0.000
O 1.464 4.313 5.302
O 4.467 0.889 2.513
O 3.003 3.424 2.513
```

Results
- Symmetry: P-3m1 (164)
- DOS(E_F): 7.32 states/eV/cell
- Calculated total energy: -78.70 eV/cell